No. 1
MnTlIr2 after structural relaxation. Source: Alexandria, functional PBE.

Cell: 6.381 6.381 6.381 Å, 90.00 90.00 90.00°
Space group Fm-3m (No. 225)
Unique sites:
Mn: 0.000 0.000 0.000 [4 per cell]
Tl: 0.000 0.000 0.500 [4 per cell]
Ir: 0.250 0.250 0.250 [8 per cell]

## Properties
Fermi-level density of states = 13.84 states/eV/cell
E above lowest polymorph = 0.355 eV/f.u.
energy of formation = 0.287 eV per atom
V = 259.8 Å³ per cell
size of the total moment = 4.2 μB/f.u.


No. 2
MnTlIr2 after structural relaxation. Source: Alexandria, functional PBE.

Cell: 3.980 3.980 8.162 Å, 90.00 90.00 90.00°
Space group I-4m2 (No. 119)
Unique sites:
Mn: 0.000 0.000 0.000 [2 per cell]
Tl: 0.000 0.500 0.750 [2 per cell]
Ir: 0.000 0.000 0.500 [2 per cell]
Ir: 0.000 0.500 0.250 [2 per cell]

## Properties
Fermi-level density of states = 7.78 states/eV/cell
E above lowest polymorph = 0.598 eV/f.u.
energy of formation = 0.348 eV per atom
V = 129.3 Å³ per cell
size of the total moment = 3.3 μB/f.u.


No. 3
MnTlIr2 after structural relaxation. Source: Alexandria, functional PBE.

Cell: 9.256 2.960 4.885 Å, 90.00 100.62 90.00°
Space group Cm (No. 8)
Unique sites:
Mn: 0.000 0.000 0.000 [2 per cell]
Tl: 0.239 0.000 0.706 [2 per cell]
Ir: 0.243 0.500 0.202 [2 per cell]
Ir: 0.484 0.000 0.437 [2 per cell]

## Properties
Fermi-level density of states = 9.02 states/eV/cell
E above lowest polymorph = 0.614 eV/f.u.
energy of formation = 0.352 eV per atom
V = 131.5 Å³ per cell
size of the total moment = 3.4 μB/f.u.


No. 4
MnTlIr3 after structural relaxation. Source: Alexandria, functional PBE.

Cell: 4.911 4.911 4.911 Å, 90.00 90.00 90.00°
Space group Pm-3m (No. 221)
Unique sites:
Mn: 0.000 0.000 0.000 [1 per cell]
Tl: 0.500 0.500 0.500 [1 per cell]
Ir: 0.000 0.500 0.500 [3 per cell]

## Properties
Fermi-level density of states = 13.79 states/eV/cell
E above lowest polymorph = 8.530 eV/f.u.
energy of formation = 2.915 eV per atom
V = 118.5 Å³ per cell
size of the total moment = 1.0 μB/f.u.


No. 5
MnTlIr2 after structural relaxation. Source: Alexandria, functional PBE.

Cell: 8.975 2.930 5.059 Å, 90.00 101.21 90.00°
Space group C2/m (No. 12)
Unique sites:
Mn: 0.000 0.000 0.000 [2 per cell]
Tl: 0.000 0.500 0.500 [2 per cell]
Ir: 0.240 0.500 0.220 [4 per cell]

## Properties
Fermi-level density of states = 7.55 states/eV/cell
E above lowest polymorph = 0.350 eV/f.u.
energy of formation = 0.286 eV per atom
V = 130.5 Å³ per cell
size of the total moment = 3.6 μB/f.u.


No. 6
MnTlIr2 after structural relaxation. Source: Alexandria, functional PBE.

Cell: 2.907 2.907 7.962 Å, 90.00 90.00 90.00°
Space group P4mm (No. 99)
Unique sites:
Mn: 0.000 0.000 0.000 [1 per cell]
Tl: 0.500 0.500 0.293 [1 per cell]
Ir: 0.000 0.000 0.566 [1 per cell]
Ir: 0.500 0.500 0.792 [1 per cell]

## Properties
Fermi-level density of states = 2.66 states/eV/cell
E above lowest polymorph = 0.625 eV/f.u.
energy of formation = 0.355 eV per atom
V = 67.3 Å³ per cell
size of the total moment = 3.1 μB/f.u.